DFT (PBE-GGA) results for a relaxed structure of Pm12Nd3Zr.

N(E_F)	22.6	states/eV per cell
magnetization	0.00	μB/cell
E	-0.364	Ry per atom
DFT formation energy	0.04	eV/atom

Lattice parameters (Å, degrees): 5.1233 5.1233 20.4846 90.00 90.00 90.00
Space group P4/mmm (No. 123)
Symmetry-distinct sites (fractional):
Pm: 0.0000 0.0000 0.0000 [1 per cell]
Pm: 0.0000 0.0000 0.2457 [2 per cell]
Pm: 0.0000 0.0000 0.5000 [1 per cell]
Pm: 0.0000 0.5000 0.1166 [4 per cell]
Pm: 0.0000 0.5000 0.3726 [4 per cell]
Nd: 0.5000 0.5000 0.2462 [2 per cell]
Nd: 0.5000 0.5000 0.5000 [1 per cell]
Zr: 0.5000 0.5000 0.0000 [1 per cell]